Model P:
Here is a relaxed BaNaPm crystal from the Alexandria database. Energies are from PBE-GGA.

Lattice parameters (Å, degrees): 3.9848 3.9848 16.3832 90.00 90.00 90.00
Last column: nearest neighbours and their distance in Å.
Space group P4/nmm (No. 129, origin choice 2)
Unique sites:
Ba  0.2500  0.2500  0.2459 x2  4 Ba 3.98, 4 Pm 4.07, 4 Na 4.13
Na  0.2500  0.2500  0.5701 x2  8 Na 3.64-3.98
Pm  0.2500  0.2500  0.9333 x2  8 Pm 3.57-3.98



Model Q:
Here is a relaxed BaNaPm crystal from the Alexandria database. Energies are from PBE-GGA.

Lattice parameters (Å, degrees): 6.2515 6.2515 3.7368 90.00 90.00 120.00
Last column: nearest neighbours and their distance in Å.
Space group P3m1 (No. 156)
Unique sites:
Ba  0.0000  0.0000  0.0000 x1  2 Ba 3.74, 3 Na 3.77, 3 Pm 3.88
Na  0.3333  0.6667  0.7076 x1  2 Na 3.74, 3 Ba 3.77, 3 Pm 3.81
Pm  0.6667  0.3333  0.3790 x1  2 Pm 3.74, 3 Na 3.81, 3 Ba 3.88



The structure with the greatest stability is model P.



Model P:
Here is a relaxed BaNa4Pt2 crystal from the Alexandria database. Energies are from PBE-GGA.

Lattice parameters (Å, degrees): 5.5880 5.5880 15.8390 90.00 90.00 90.00
Last column: nearest neighbours and their distance in Å.
Space group I4/mmm (No. 139)
Unique sites:
Ba  0.0000  0.0000  0.0000 x2  4 Na 2.79
Na  0.0000  0.0000  0.2423 x4  1 Pt 2.80
Na  0.0000  0.5000  0.0000 x4  2 Ba 2.79, 4 Pt 3.07
Pt  0.0000  0.0000  0.4191 x4  1 Pt 2.56, 1 Na 2.80



Model Q:
Here is a relaxed BaNa4Pt2 crystal from the Alexandria database. Energies are from PBE-GGA.

Lattice parameters (Å, degrees): 4.5503 19.0265 4.5666 90.00 90.00 90.00
Last column: nearest neighbours and their distance in Å.
Space group Cmmm (No. 65)
Unique sites:
Ba  0.0000  0.0000  0.0000 x2  8 Pt 3.48
Na  0.0000  0.1684  0.5000 x4  2 Pt 2.96, 4 Na 3.22
Na  0.0000  0.3337  0.0000 x4  2 Pt 2.94, 4 Na 3.22
Pt  0.0000  0.4313  0.5000 x4  1 Pt 2.61



The structure with the greatest stability is model Q.



Model P:
Here is a relaxed BaNa2Pt2 crystal from the Alexandria database. Energies are from PBE-GGA.

Lattice parameters (Å, degrees): 4.5691 4.5790 26.5029 90.00 90.00 90.00
Last column: nearest neighbours and their distance in Å.
Space group Imma (No. 74)
Unique sites:
Ba  0.0000  0.2500  0.0716 x4  10 Pt 3.39-3.49
Na  0.0000  0.2500  0.3095 x4  2 Pt 2.94, 4 Na 3.23
Na  0.0000  0.2500  0.8076 x4  2 Pt 2.97, 4 Na 3.23
Pt  0.0000  0.2500  0.5227 x4  3 Pt 2.59-2.60
Pt  0.0000  0.2500  0.6209 x4  1 Pt 2.60



Model Q:
Here is a relaxed BaNa2Pt2 crystal from the Alexandria database. Energies are from PBE-GGA.

Lattice parameters (Å, degrees): 4.4432 4.4432 13.2299 90.00 90.00 90.00
Last column: nearest neighbours and their distance in Å.
Space group I4/mmm (No. 139)
Unique sites:
Ba  0.0000  0.0000  0.0000 x2  8 Pt 3.41
Na  0.0000  0.5000  0.2500 x4  4 Pt 2.98, 4 Na 3.14
Pt  0.0000  0.0000  0.4004 x4  1 Pt 2.63



Model R:
Here is a relaxed BaNa2Pt2 crystal from the Alexandria database. Energies are from PBE-GGA.

Lattice parameters (Å, degrees): 8.3698 8.3698 3.2851 90.00 90.00 90.00
Last column: nearest neighbours and their distance in Å.
Space group P4/mbm (No. 127)
Unique sites:
Ba  0.0000  0.0000  0.0000 x2  2 Ba 3.29, 4 Na 3.38, 8 Pt 3.47
Na  0.1123  0.3877  0.0000 x4  1 Na 2.66, 2 Pt 2.90
Pt  0.1859  0.6859  0.5000 x4  6 Na 2.90-3.05



The structure with the greatest stability is model P.



Model P:
Here is a relaxed Ba2Na2Pt crystal from the Alexandria database. Energies are from PBE-GGA.

Lattice parameters (Å, degrees): 8.3183 8.3183 6.7315 90.00 90.00 90.00
Last column: nearest neighbours and their distance in Å.
Space group P4/mbm (No. 127)
Unique sites:
Ba  0.1795  0.3205  0.0000 x4  2 Pt 3.06
Na  0.1507  0.6507  0.5000 x4  1 Na 3.54, 2 Ba 3.91
Pt  0.0000  0.0000  0.0000 x2  4 Ba 3.06



Model Q:
Here is a relaxed Ba2Na2Pt crystal from the Alexandria database. Energies are from PBE-GGA.

Lattice parameters (Å, degrees): 5.4145 5.4145 27.6928 90.00 90.00 90.00
Last column: nearest neighbours and their distance in Å.
Space group I4_1/amd (No. 141, origin choice 2)
Unique sites:
Ba  0.0000  0.2500  0.0693 x8  2 Pt 3.12
Na  0.0000  0.2500  0.2001 x8  2 Pt 3.41, 1 Ba 3.62
Pt  0.0000  0.2500  0.8750 x4  4 Ba 3.12, 4 Na 3.41



The structure with the greatest stability is model Q.



Model P:
Here is a relaxed BaNaPt3 crystal from the Alexandria database. Energies are from PBE-GGA.

Lattice parameters (Å, degrees): 5.5233 5.5233 5.5233 90.00 90.00 90.00
Last column: nearest neighbours and their distance in Å.
Space group Pm-3m (No. 221)
Unique sites:
Ba  0.0000  0.0000  0.0000 x1  6 Pt 2.76
Na  0.5000  0.5000  0.5000 x1  12 Pt 3.91
Pt  0.0000  0.0000  0.5000 x3  2 Ba 2.76



Model Q:
Here is a relaxed BaNaPt3 crystal from the Alexandria database. Energies are from PBE-GGA.

Lattice parameters (Å, degrees): 4.9153 4.9153 4.9153 90.00 90.00 90.00
Last column: nearest neighbours and their distance in Å.
Space group Pm-3m (No. 221)
Unique sites:
Ba  0.0000  0.0000  0.0000 x1  12 Pt 3.48
Na  0.5000  0.5000  0.5000 x1  6 Pt 2.46
Pt  0.0000  0.5000  0.5000 x3  2 Na 2.46



The structure with the greatest stability is model Q.



Model P:
Here is a relaxed Rb2Ba2Na crystal from the Alexandria database. Energies are from PBE-GGA.

Lattice parameters (Å, degrees): 5.7337 5.7337 23.3499 90.00 90.00 90.00
Last column: nearest neighbours and their distance in Å.
Space group I4/mmm (No. 139)
Unique sites:
Rb  0.0000  0.0000  0.0908 x4  1 Rb 4.24, 4 Na 4.58, 4 Ba 4.69
Ba  0.0000  0.5000  0.2500 x4  4 Ba 4.05
Na  0.0000  0.0000  0.5000 x2  8 Rb 4.58



Model Q:
Here is a relaxed Rb2Ba2Na crystal from the Alexandria database. Energies are from PBE-GGA.

Lattice parameters (Å, degrees): 5.4590 5.4590 24.4195 90.00 90.00 90.00
Last column: nearest neighbours and their distance in Å.
Space group I4/mmm (No. 139)
Unique sites:
Rb  0.0000  0.5000  0.2500 x4  4 Rb 3.86
Ba  0.0000  0.0000  0.0859 x4  1 Ba 4.20, 4 Na 4.39
Na  0.0000  0.0000  0.5000 x2  8 Ba 4.39



The structure with the greatest stability is model P.